DFT (PBE+U) results for a relaxed structure of CoCuAgF6.

Total DFT energy (no corrections)   -4.121 eV/atom
Magnetization   0.11 μB per atom

Lattice parameters (Å, degrees): 5.2349 5.2349 10.1584 90.00 90.00 120.00
Space group P-31c (No. 163)
Unique sites:
Co: 0.3333 0.6667 0.2500
Cu: 0.3333 0.6667 0.7500
Ag: 0.0000 0.0000 0.0000
F: 0.0266 0.3771 0.1472